[1]
HfTlZnCu | GGA-PBE | optimized geometry

Unit cell a=4.694 b=4.694 c=4.694 alpha=60.00 beta=60.00 gamma=60.00
Fractional coordinates of all 4 atoms:
Hf 0.000 0.000 0.000
Tl 0.250 0.250 0.250
Zn 0.750 0.750 0.750
Cu 0.500 0.500 0.500

## Properties
ΔE to the lowest computed polymorph = 47 meV/atom
Theoretical density = 11.62 g/cm3
Crystal system = cubic

[2]
TlAuNO | GGA-PBE | optimized geometry

Unit cell a=4.294 b=4.294 c=7.327 alpha=90.00 beta=90.00 gamma=90.00
Fractional coordinates of all 8 atoms:
Tl 0.250 0.250 0.129
Tl 0.750 0.750 0.871
Au 0.250 0.750 0.500
Au 0.750 0.250 0.500
N 0.250 0.250 0.451
N 0.750 0.750 0.549
O 0.250 0.750 0.000
O 0.750 0.250 0.000

## Properties
ΔE to the lowest computed polymorph = 0 meV/atom
Theoretical density = 10.60 g/cm3
Crystal system = tetragonal

[3]
TaCuSiOs | GGA-PBE | optimized geometry

Unit cell a=4.340 b=4.340 c=4.340 alpha=60.00 beta=60.00 gamma=60.00
Fractional coordinates of all 4 atoms:
Ta 0.000 0.000 0.000
Cu 0.500 0.500 0.500
Si 0.250 0.250 0.250
Os 0.750 0.750 0.750

## Properties
ΔE to the lowest computed polymorph = 190 meV/atom
Theoretical density = 13.30 g/cm3
Crystal system = cubic

[4]
Cu5Ag4 | GGA-PBE | optimized geometry

Unit cell a=13.503 b=13.503 c=13.503 alpha=167.97 beta=165.16 gamma=19.15
Fractional coordinates of all 9 atoms:
Cu 0.000 0.000 0.000
Cu 0.094 0.094 0.000
Cu 0.342 0.342 0.000
Cu 0.454 0.454 0.000
Cu 0.548 0.548 0.000
Ag 0.218 0.218 0.000
Ag 0.651 0.651 0.000
Ag 0.786 0.786 0.000
Ag 0.897 0.897 0.000

## Properties
ΔE to the lowest computed polymorph = 34 meV/atom
Energy of formation from the pure elements = 7.2 kJ/mol of atoms
Theoretical density = 9.47 g/cm3
Crystal system = orthorhombic